Computed, not measured: a geometry-optimized MgReTe2 structure at the PBE level of DFT.

Cell: 3.2706 4.2820 13.0820 Å, 90.00 90.00 90.00°
With the nearest neighbours (Å) after each atom.
Space group Imm2 (No. 44)
Inequivalent atoms, fractional coordinates:
Mg 0.0000 0.0000 0.0000 [2 per cell]  6 Te 2.93-3.13, 2 Re 3.23, 2 Mg 3.27
Re 0.0000 0.5000 0.2874 [2 per cell]  6 Te 2.72-2.81
Te 0.0000 0.0000 0.6215 [2 per cell]  2 Re 2.72
Te 0.0000 0.5000 0.8475 [2 per cell]  4 Re 2.81, 2 Mg 2.93

Values from the calculation:
calculated density = 8442 kg/m³
E_form (uncorrected) = 0.2610 eV per atom

Computed, not measured: a geometry-optimized HfTaNbNi structure at the PBE level of DFT.

Cell: 6.4857 6.4857 6.4857 Å, 90.00 90.00 90.00°
With the nearest neighbours (Å) after each atom.
Space group F-43m (No. 216)
Inequivalent atoms, fractional coordinates:
Hf 0.0000 0.0000 0.0000 [4 per cell]  4 Nb 2.81, 4 Ni 2.81
Ta 0.0000 0.0000 0.5000 [4 per cell]  4 Ni 2.81, 4 Nb 2.81
Nb 0.2500 0.2500 0.7500 [4 per cell]  4 Ta 2.81, 4 Hf 2.81
Ni 0.2500 0.2500 0.2500 [4 per cell]  4 Hf 2.81, 4 Ta 2.81

Values from the calculation:
calculated density = 12442 kg/m³
formation energy from the elements = -0.0687 eV/atom

Computed, not measured: a geometry-optimized TlAs2PBr structure at the PBE level of DFT.

Cell: 4.6550 4.6550 7.8680 Å, 90.00 90.00 90.00°
With the nearest neighbours (Å) after each atom.
Space group P4/mmm (No. 123)
Inequivalent atoms, fractional coordinates:
Tl 0.0000 0.0000 0.0000 [1 per cell]  4 Br 3.29
As 0.0000 0.5000 0.5000 [2 per cell]  2 P 2.33
P 0.5000 0.5000 0.5000 [1 per cell]  4 As 2.33
Br 0.5000 0.5000 0.0000 [1 per cell]  4 Tl 3.29

Values from the calculation:
offset from the most stable computed form = 0.0 meV/atom
calculated density = 4530 kg/m³
E_form (uncorrected) = 0.3119 eV per atom

Computed, not measured: a geometry-optimized In12Ga6Pb structure at the PBE level of DFT.

Cell: 9.9149 9.9149 9.9149 Å, 90.00 90.00 90.00°
With the nearest neighbours (Å) after each atom.
Space group Im-3 (No. 204)
Inequivalent atoms, fractional coordinates:
In 0.0000 0.2668 0.2028 [24 per cell]  1 Ga 2.83
Ga 0.0000 0.1319 0.5000 [12 per cell]  1 Ga 2.62, 2 In 2.83
Pb 0.0000 0.0000 0.0000 [2 per cell]  12 In 3.32

Values from the calculation:
offset from the most stable computed form = 31.2 meV/atom
calculated density = 6826 kg/m³
formation energy from the elements = 0.0728 eV/atom

Computed, not measured: a geometry-optimized CePr4Pb5 structure at the PBE level of DFT.

Cell: 4.2274 4.2274 17.2895 Å, 90.00 90.00 90.00°
With the nearest neighbours (Å) after each atom.
Space group P4/mmm (No. 123)
Inequivalent atoms, fractional coordinates:
Ce 0.0000 0.0000 0.0000 [1 per cell]  2 Pr 3.40, 8 Pb 3.44
Pr 0.0000 0.0000 0.1967 [2 per cell]  1 Ce 3.40, 8 Pb 3.44-3.48, 1 Pr 3.51
Pr 0.0000 0.0000 0.4000 [2 per cell]  8 Pb 3.45-3.46, 2 Pr 3.46-3.51
Pb 0.5000 0.5000 0.0980 [2 per cell]  2 Pb 3.39-3.48, 4 Ce 3.44, 4 Pr 3.44
Pb 0.5000 0.5000 0.2995 [2 per cell]  8 Pr 3.46-3.48, 2 Pb 3.47-3.48
Pb 0.5000 0.5000 0.5000 [1 per cell]  8 Pr 3.45, 2 Pb 3.47

Values from the calculation:
calculated density = 9350 kg/m³
formation energy from the elements = -0.4799 eV/atom

Computed, not measured: a geometry-optimized VReAs2Br structure at the PBE level of DFT.

Cell: 4.7937 4.7937 5.0113 Å, 90.00 90.00 90.00°
With the nearest neighbours (Å) after each atom.
Space group P4/mmm (No. 123)
Inequivalent atoms, fractional coordinates:
V 0.0000 0.0000 0.0000 [1 per cell]  4 As 2.40, 2 Br 2.51
Re 0.5000 0.5000 0.5000 [1 per cell]  4 Br 3.39, 8 As 3.47
As 0.0000 0.5000 0.0000 [2 per cell]  2 V 2.40
Br 0.0000 0.0000 0.5000 [1 per cell]  2 V 2.51

Values from the calculation:
calculated density = 6732 kg/m³
E_form (uncorrected) = 1.1566 eV per atom

Computed, not measured: a geometry-optimized Sc4CdCu2Pt structure at the PBE level of DFT.

Cell: 4.7298 4.7298 23.1969 Å, 90.00 90.00 120.00°
With the nearest neighbours (Å) after each atom.
Space group R-3m (No. 166, hexagonal axes)
Inequivalent atoms, fractional coordinates:
Sc 0.0000 0.0000 0.1185 [6 per cell]  1 Pt 2.75, 4 Cu 2.80-2.88, 3 Cd 2.95
Sc 0.0000 0.0000 0.3700 [6 per cell]  3 Pt 2.86, 4 Cu 2.96-3.01, 1 Cd 3.02
Cd 0.0000 0.0000 0.5000 [3 per cell]  8 Sc 2.95-3.02, 6 Cu 3.25
Cu 0.0000 0.0000 0.2424 [6 per cell]  8 Sc 2.80-3.01
Pt 0.0000 0.0000 0.0000 [3 per cell]  8 Sc 2.75-2.86

Values from the calculation:
calculated density = 6810 kg/m³
formation energy from the elements = -0.5303 eV/atom

Computed, not measured: a geometry-optimized Ca2GaAg2 structure at the PBE level of DFT.

Cell: 3.8312 3.8312 17.6328 Å, 90.00 90.00 90.00°
With the nearest neighbours (Å) after each atom.
Space group I4/mmm (No. 139)
Inequivalent atoms, fractional coordinates:
Ca 0.0000 0.0000 0.1027 [4 per cell]  4 Ag 3.23, 4 Ga 3.26
Ga 0.0000 0.0000 0.5000 [2 per cell]  8 Ca 3.26
Ag 0.0000 0.5000 0.2500 [4 per cell]  4 Ag 2.71

Values from the calculation:
offset from the most stable computed form = 149.4 meV/atom
calculated density = 4691 kg/m³
formation energy from the elements = -0.2009 eV/atom

Computed, not measured: a geometry-optimized La2NbCrIn structure at the PBE level of DFT.

Cell: 5.9851 5.9851 5.2416 Å, 90.00 90.00 90.00°
With the nearest neighbours (Å) after each atom.
Space group P4/mmm (No. 123)
Inequivalent atoms, fractional coordinates:
La 0.0000 0.5000 0.0000 [2 per cell]  2 In 2.99
Nb 0.0000 0.0000 0.5000 [1 per cell]  2 In 2.62
Cr 0.5000 0.5000 0.5000 [1 per cell]  8 La 3.98, 4 Nb 4.23
In 0.0000 0.0000 0.0000 [1 per cell]  2 Nb 2.62

Values from the calculation:
calculated density = 4754 kg/m³
formation energy from the elements = 1.1667 eV/atom

Computed, not measured: a geometry-optimized Ba2CuPt structure at the PBE level of DFT.

Cell: 4.5552 4.5552 11.5479 Å, 90.00 90.00 90.00°
With the nearest neighbours (Å) after each atom.
Space group I-4m2 (No. 119)
Inequivalent atoms, fractional coordinates:
Ba 0.0000 0.0000 0.0000 [2 per cell]  4 Pt 3.22
Ba 0.0000 0.5000 0.2500 [2 per cell]  4 Cu 3.22
Cu 0.0000 0.5000 0.7500 [2 per cell]  4 Ba 3.22
Pt 0.0000 0.0000 0.5000 [2 per cell]  4 Ba 3.22

Values from the calculation:
calculated density = 7391 kg/m³
formation energy from the elements = -0.1441 eV/atom

Computed, not measured: a geometry-optimized CeZnF structure at the PBE level of DFT.

Cell: 3.3148 3.3148 9.4949 Å, 90.00 90.00 90.00°
With the nearest neighbours (Å) after each atom.
Space group P4/nmm (No. 129, origin choice 2)
Inequivalent atoms, fractional coordinates:
Ce 0.2500 0.2500 0.2017 [2 per cell]  5 F 2.63
Zn 0.2500 0.2500 0.5698 [2 per cell]  4 Zn 2.69
F 0.2500 0.2500 0.9249 [2 per cell]  5 Ce 2.63, 4 F 2.74

Values from the calculation:
calculated density = 7147 kg/m³
E_form (uncorrected) = -1.6404 eV per atom

Computed, not measured: a geometry-optimized Sc2ZnAs structure at the PBE level of DFT.

Cell: 3.7381 4.1200 9.9108 Å, 90.00 90.00 90.00°
With the nearest neighbours (Å) after each atom.
Space group Imm2 (No. 44)
Inequivalent atoms, fractional coordinates:
Sc 0.0000 0.0000 0.0000 [2 per cell]  4 Zn 2.79, 2 As 3.12
Sc 0.0000 0.5000 0.2424 [2 per cell]  4 As 2.79, 2 Zn 3.12
Zn 0.0000 0.0000 0.4791 [2 per cell]  6 Sc 2.79-3.12, 2 As 2.84
As 0.0000 0.5000 0.7633 [2 per cell]  6 Sc 2.79-3.12, 2 Zn 2.84

Values from the calculation:
offset from the most stable computed form = 158.2 meV/atom
calculated density = 5010 kg/m³
formation energy from the elements = -0.6407 eV/atom